No. 1
Y2Pt3Au2 | PBE | optimized geometry

Unit cell a=12.1223 b=3.9145 c=6.4852 alpha=90.00 beta=107.40 gamma=90.00
Sites, in units of the cell vectors:
Y  0.1931  0.0000  0.2309
Y  0.3069  0.5000  0.7691
Y  0.6931  0.5000  0.2309
Y  0.8069  0.0000  0.7691
Pt  0.0000  0.5000  0.0000
Pt  0.0930  0.5000  0.4326
Pt  0.4070  0.0000  0.5674
Pt  0.5000  0.0000  0.0000
Pt  0.5930  0.0000  0.4326
Pt  0.9070  0.5000  0.5674
Au  0.0913  0.0000  0.7531
Au  0.4087  0.5000  0.2469
Au  0.5913  0.5000  0.7531
Au  0.9087  0.0000  0.2469

Results
**Formation energy**: -5.3 eV per formula unit
**Size of the total moment**: 0.000 μB per formula unit
**Mass density**: 13.1 Mg/m³
**V**: 20.976 Å³/atom

---

No. 2
Y3Pt2Au | PBE | optimized geometry

Unit cell a=5.0188 b=14.9496 c=3.5381 alpha=90.00 beta=90.00 gamma=90.00
Sites, in units of the cell vectors:
Y  0.0000  0.0000  0.0000
Y  0.0000  0.3291  0.0000
Y  0.0000  0.6709  0.0000
Y  0.5000  0.1709  0.0000
Y  0.5000  0.5000  0.0000
Y  0.5000  0.8291  0.0000
Pt  0.0000  0.1651  0.5000
Pt  0.0000  0.8349  0.5000
Pt  0.5000  0.3349  0.5000
Pt  0.5000  0.6651  0.5000
Au  0.0000  0.5000  0.5000
Au  0.5000  0.0000  0.5000

Results
**Formation energy**: -6.5 eV per formula unit
**Size of the total moment**: 0.000 μB per formula unit
**Mass density**: 10.7 Mg/m³
**V**: 22.121 Å³/atom

---

No. 3
YPtAu3 | PBE | optimized geometry

Unit cell a=5.0496 b=5.0496 c=5.0496 alpha=90.00 beta=90.00 gamma=90.00
Sites, in units of the cell vectors:
Y  0.0000  0.0000  0.0000
Pt  0.5000  0.5000  0.5000
Au  0.0000  0.5000  0.5000
Au  0.5000  0.0000  0.5000
Au  0.5000  0.5000  0.0000

Results
**Formation energy**: 0.6 eV per formula unit
**Energy relative to the lowest polymorph listed for this composition**: 391 meV/atom
**Size of the total moment**: 0.000 μB per formula unit
**Mass density**: 11.3 Mg/m³
**V**: 25.752 Å³/atom

---

No. 4
Y2Pt15Au2 | PBE | optimized geometry

Unit cell a=7.0036 b=7.0036 c=7.0036 alpha=83.51 beta=83.51 gamma=83.51
Sites, in units of the cell vectors:
Y  0.1526  0.1526  0.1526
Y  0.8474  0.8474  0.8474
Pt  0.0000  0.5000  0.5000
Pt  0.1580  0.1580  0.6686
Pt  0.1580  0.6686  0.1580
Pt  0.1780  0.5000  0.8220
Pt  0.1780  0.8220  0.5000
Pt  0.3314  0.8420  0.8420
Pt  0.5000  0.0000  0.5000
Pt  0.5000  0.1780  0.8220
Pt  0.5000  0.5000  0.0000
Pt  0.5000  0.8220  0.1780
Pt  0.6686  0.1580  0.1580
Pt  0.8220  0.1780  0.5000
Pt  0.8220  0.5000  0.1780
Pt  0.8420  0.3314  0.8420
Pt  0.8420  0.8420  0.3314
Au  0.3937  0.3937  0.3937
Au  0.6063  0.6063  0.6063

Results
**Formation energy**: -7.7 eV per formula unit
**Size of the total moment**: 0.000 μB per formula unit
**Mass density**: 17.2 Mg/m³
**V**: 17.757 Å³/atom

---

No. 5
Y2PtAu3 | PBE | optimized geometry

Unit cell a=3.4981 b=4.8655 c=7.7741 alpha=90.00 beta=90.00 gamma=90.00
Sites, in units of the cell vectors:
Y  0.0000  0.0000  0.0000
Y  0.0000  0.5000  0.4617
Pt  0.5000  0.0000  0.3015
Au  0.5000  0.0000  0.6501
Au  0.5000  0.5000  0.1450
Au  0.5000  0.5000  0.7965

Results
**Formation energy**: -4.8 eV per formula unit
**Size of the total moment**: 0.000 μB per formula unit
**Mass density**: 12.1 Mg/m³
**V**: 22.052 Å³/atom

---

No. 6
Y6Pt5Au | PBE | optimized geometry

Unit cell a=4.9841 b=7.0540 c=7.8405 alpha=90.00 beta=108.29 gamma=90.00
Sites, in units of the cell vectors:
Y  0.0000  0.2451  0.0000
Y  0.0000  0.7549  0.0000
Y  0.3307  0.2479  0.6626
Y  0.3307  0.7521  0.6626
Y  0.6693  0.2479  0.3374
Y  0.6693  0.7521  0.3374
Pt  0.1664  0.5000  0.3303
Pt  0.1680  0.0000  0.3338
Pt  0.5000  0.0000  0.0000
Pt  0.8320  0.0000  0.6662
Pt  0.8336  0.5000  0.6697
Au  0.5000  0.5000  0.0000

Results
**Formation energy**: -13.7 eV per formula unit
**Size of the total moment**: 0.000 μB per formula unit
**Mass density**: 10.8 Mg/m³
**V**: 21.810 Å³/atom

---

No. 7
Y4PtAu | PBE | optimized geometry

Unit cell a=7.0748 b=7.0403 c=7.0024 alpha=90.00 beta=92.16 gamma=90.00
Sites, in units of the cell vectors:
Y  0.1547  0.1596  0.1710
Y  0.1547  0.3404  0.6710
Y  0.3340  0.6558  0.1456
Y  0.3340  0.8442  0.6456
Y  0.6660  0.1558  0.3544
Y  0.6660  0.3442  0.8544
Y  0.8453  0.6596  0.3290
Y  0.8453  0.8404  0.8290
Pt  0.0000  0.0000  0.5000
Pt  0.0000  0.5000  0.0000
Au  0.5000  0.0000  0.0000
Au  0.5000  0.5000  0.5000

Results
**Formation energy**: -3.8 eV per formula unit
**Energy relative to the lowest polymorph listed for this composition**: 112 meV/atom
**Size of the total moment**: 0.000 μB per formula unit
**Mass density**: 7.1 Mg/m³
**V**: 29.044 Å³/atom

---

No. 8
Y4PtAu | PBE | optimized geometry

Unit cell a=5.9920 b=5.9920 c=5.9920 alpha=60.00 beta=60.00 gamma=60.00
Sites, in units of the cell vectors:
Y  0.3756  0.3756  0.3756
Y  0.3756  0.3756  0.8733
Y  0.3756  0.8733  0.3756
Y  0.8733  0.3756  0.3756
Pt  0.7500  0.7500  0.7500
Au  0.0000  0.0000  0.0000

Results
**Formation energy**: 1.9 eV per formula unit
**Energy relative to the lowest polymorph listed for this composition**: 1064 meV/atom
**Size of the total moment**: 0.000 μB per formula unit
**Mass density**: 8.2 Mg/m³
**V**: 25.354 Å³/atom

---

No. 9
Y3Pt3Au2 | PBE | optimized geometry

Unit cell a=8.5161 b=8.5161 c=5.7134 alpha=90.00 beta=90.00 gamma=120.00
Sites, in units of the cell vectors:
Y  0.0000  0.3064  0.2500
Y  0.0000  0.6936  0.7500
Y  0.3064  0.0000  0.2500
Y  0.3064  0.3064  0.7500
Y  0.6936  0.0000  0.7500
Y  0.6936  0.6936  0.2500
Pt  0.0000  0.3567  0.7500
Pt  0.0000  0.6433  0.2500
Pt  0.3567  0.0000  0.7500
Pt  0.3567  0.3567  0.2500
Pt  0.6433  0.0000  0.2500
Pt  0.6433  0.6433  0.7500
Au  0.3333  0.6667  0.0000
Au  0.3333  0.6667  0.5000
Au  0.6667  0.3333  0.0000
Au  0.6667  0.3333  0.5000

Results
**Formation energy**: -7.4 eV per formula unit
**Size of the total moment**: 0.000 μB per formula unit
**Mass density**: 11.5 Mg/m³
**V**: 22.428 Å³/atom

---

No. 10
YPtAu | PBE | optimized geometry

Unit cell a=6.5763 b=6.5763 c=6.5763 alpha=90.00 beta=90.00 gamma=90.00
Sites, in units of the cell vectors:
Y  0.0000  0.0000  0.0000
Y  0.0000  0.5000  0.5000
Y  0.5000  0.0000  0.5000
Y  0.5000  0.5000  0.0000
Pt  0.2500  0.2500  0.2500
Pt  0.2500  0.7500  0.7500
Pt  0.7500  0.2500  0.7500
Pt  0.7500  0.7500  0.2500
Au  0.0000  0.0000  0.5000
Au  0.0000  0.5000  0.0000
Au  0.5000  0.0000  0.0000
Au  0.5000  0.5000  0.5000

Results
**Formation energy**: -2.5 eV per formula unit
**Size of the total moment**: 0.000 μB per formula unit
**Mass density**: 11.2 Mg/m³
**V**: 23.701 Å³/atom

---

No. 11
Y2PtAu | PBE | optimized geometry

Unit cell a=4.6125 b=3.7707 c=10.7282 alpha=90.00 beta=90.00 gamma=90.00
Sites, in units of the cell vectors:
Y  0.0000  0.0000  0.0000
Y  0.0000  0.5000  0.5000
Y  0.5000  0.0000  0.2772
Y  0.5000  0.5000  0.7772
Pt  0.0000  0.0000  0.7272
Pt  0.0000  0.5000  0.2272
Au  0.5000  0.0000  0.5531
Au  0.5000  0.5000  0.0531

Results
**Formation energy**: -4.3 eV per formula unit
**Size of the total moment**: 0.000 μB per formula unit
**Mass density**: 10.1 Mg/m³
**V**: 23.324 Å³/atom

---

No. 12
YPtAu | PBE | optimized geometry

Unit cell a=6.6720 b=6.6720 c=6.6720 alpha=90.00 beta=90.00 gamma=90.00
Sites, in units of the cell vectors:
Y  0.0000  0.0000  0.0000
Y  0.0000  0.5000  0.5000
Y  0.5000  0.0000  0.5000
Y  0.5000  0.5000  0.0000
Pt  0.2500  0.2500  0.7500
Pt  0.2500  0.7500  0.2500
Pt  0.7500  0.2500  0.2500
Pt  0.7500  0.7500  0.7500
Au  0.2500  0.2500  0.2500
Au  0.2500  0.7500  0.7500
Au  0.7500  0.2500  0.7500
Au  0.7500  0.7500  0.2500

Results
**Formation energy**: -1.7 eV per formula unit
**Size of the total moment**: 0.000 μB per formula unit
**Mass density**: 10.8 Mg/m³
**V**: 24.751 Å³/atom